Entry 1:
Below is a relaxed LaSmAgPt crystal, with properties calculated at the PBE-GGA level.

Lattice parameters (Å, degrees): 5.208 5.208 5.208 60.00 60.00 60.00
Positions (direct):
Ag1 0.000 0.000 0.000
Sm1 0.750 0.750 0.750
Pt1 0.500 0.500 0.500
La1 0.250 0.250 0.250

## Properties
space group = F-43m, No. 216
calculated formation energy = -0.675 eV/atom



Entry 2:
Below is a relaxed SiAgH2 crystal, with properties calculated at the PBE-GGA level.

Lattice parameters (Å, degrees): 3.862 3.862 6.544 72.84 72.84 90.00
Positions (direct):
H1 0.374 0.125 0.250
H2 0.376 0.625 0.250
H3 0.375 0.626 0.750
H4 0.875 0.624 0.750
Si1 0.500 0.500 0.000
Si2 0.250 0.750 0.500
Ag1 0.000 0.000 0.000
Ag2 0.750 0.250 0.500

## Properties
space group = I4_1/amd, No. 141
calculated total energy = -3.20 eV per atom